[1]
5
Lattice="4.509 0.000 0.000 0.000 4.509 0.000 0.000 0.000 4.509" Properties=species:S:1:pos:R:3 comment="BaBe3Ga | Alexandria via LeMat-Bulk | meta-GGA SCAN | PBEsol geometry" e_form_mev_per_atom=580 energy_ev_per_cell=-66.1 space_group=Pm-3m dos_at_fermi_per_ev_cell=2.69 pbc="T T T"
Be 0.000 2.254 0.000
Be 2.254 0.000 0.000
Be 0.000 0.000 2.254
Ba 2.254 2.254 2.254
Ga 0.000 0.000 0.000

[2]
5
Lattice="4.243 0.000 0.000 0.000 4.575 0.000 0.000 0.000 4.575" Properties=species:S:1:pos:R:3 comment="BaBeGaMo2 | Alexandria via LeMat-Bulk | meta-GGA SCAN | PBEsol geometry" e_form_mev_per_atom=1004 energy_ev_per_cell=-125.0 space_group=P4/mmm dos_at_fermi_per_ev_cell=4.49 pbc="T T T"
Ga 2.121 0.000 0.000
Ba 2.121 2.287 2.287
Mo 0.000 2.287 0.000
Mo 0.000 0.000 2.287
Be 0.000 0.000 0.000